YMgSnHg, relaxed, DFT GGA-PBE; space group = F-43m; calculated volume = 98.09 Å³ per cell; formation enthalpy at 0 K = -0.3876 eV/atom; M_tot = 0.00 μB/cell; total energy = -13.91 eV/cell
1.0
0.0000 3.6604 3.6604
3.6604 0.0000 3.6604
3.6604 3.6604 0.0000
Y Mg Sn Hg
1 1 1 1
Direct
0.0000 0.0000 0.0000
0.5000 0.5000 0.5000
0.2500 0.2500 0.2500
0.7500 0.7500 0.7500